Record 1
Entry from Alexandria: a relaxed structure of CsBrCl (PBE-GGA).

Cell: 9.9100 9.9100 5.4328 Å, 90.59 90.59 31.79°
Closest atoms and distances in Å follow each position.
Sites, in units of the cell vectors:
1 Cs 0.1416 0.1416 0.2462  4 Cl 3.40-3.43
2 Cs 0.8584 0.8584 0.7538  4 Cl 3.40-3.43
3 Br 0.4950 0.4950 0.2498  2 Br 2.72
4 Br 0.5050 0.5050 0.7502  2 Br 2.72
5 Cl 0.2487 0.2487 0.7503  4 Cs 3.40-3.43
6 Cl 0.7513 0.7513 0.2497  4 Cs 3.40-3.43

## Properties
Uncorrected energy, eV/atom: -2.6609
Crystal system: monoclinic
ΔE to the lowest computed polymorph, meV/atom: 144

=====

Record 2
Entry from Alexandria: a relaxed structure of Cs6Br2Cl3 (PBE-GGA).

Cell: 8.8764 8.8764 8.9006 Å, 99.57 99.57 120.00°
Closest atoms and distances in Å follow each position.
Sites, in units of the cell vectors:
1 Cs 0.0769 0.4125 0.2380  3 Cl 3.56-3.58, 2 Br 3.68
2 Cs 0.2518 0.2518 0.7635  3 Cl 3.54-3.57, 2 Br 3.68
3 Cs 0.4125 0.0769 0.2380  3 Cl 3.56-3.58, 2 Br 3.68
4 Cs 0.5875 0.9231 0.7620  3 Cl 3.56-3.58, 2 Br 3.68
5 Cs 0.7482 0.7482 0.2365  3 Cl 3.54-3.57, 2 Br 3.68
6 Cs 0.9231 0.5875 0.7620  3 Cl 3.56-3.58, 2 Br 3.68
7 Br 0.1667 0.8333 0.5000  6 Cs 3.68
8 Br 0.8333 0.1667 0.5000  6 Cs 3.68
9 Cl 0.0000 0.0000 0.0000  6 Cs 3.54-3.58
10 Cl 0.3337 0.6663 0.0000  6 Cs 3.56-3.58
11 Cl 0.6663 0.3337 0.0000  6 Cs 3.56-3.58

## Properties
Uncorrected energy, eV/atom: -2.9670
Crystal system: monoclinic

=====

no.,formation energy without anion corrections (eV/atom)
1,-1.203
2,-1.694